VASP calculation (GGA-PBE) on a relaxed structure of LaTc2P.

Results
For the formation energy from the elements, the calculation gives -0.28 eV/atom. The total DFT energy (no corrections) is -32.194 eV per cell. As for the total moment: 0.00 μB per formula unit.

Unit cell a=3.634 b=3.995 c=5.634 alpha=90.00 beta=94.79 gamma=90.00
Space group Pm (No. 6)
Unique sites:
La  0.000  0.000  0.000
Tc  0.066  0.500  0.529
Tc  0.462  0.000  0.517
P  0.536  0.500  0.255

VASP calculation (GGA-PBE) on a relaxed structure of ScAlCd.

Results
For the formation energy from the elements, the calculation gives -0.27 eV/atom. The total DFT energy (no corrections) is -47.210 eV per cell. As for the total moment: 0.00 μB per formula unit.

Unit cell a=4.691 b=14.774 c=3.542 alpha=90.00 beta=90.00 gamma=90.00
Space group Cmcm (No. 63)
Unique sites:
Sc  0.000  0.086  0.250
Al  0.000  0.431  0.250
Cd  0.000  0.272  0.750

VASP calculation (GGA-PBE) on a relaxed structure of HfZr6In.

Results
For the formation energy from the elements, the calculation gives -0.09 eV/atom. The total DFT energy (no corrections) is -64.685 eV per cell. As for the total moment: 0.00 μB per formula unit. The calculation puts the energy above the most stable polymorph in this dataset at 0.010 eV/atom.

Unit cell a=6.3873 b=6.3873 c=5.1833 alpha=90.00 beta=90.00 gamma=120.00
Space group P-6m2 (No. 187)
Unique sites:
Hf  0.0000  0.0000  0.0000
Zr  0.1645  0.3290  0.5000
Zr  0.5016  0.0032  0.0000
In  0.6667  0.3333  0.5000

VASP calculation (GGA-PBE) on a relaxed structure of CsPu2HgO8.

Results
The uncorrected formation energy comes out at -1.735 eV per atom. The total DFT energy (no corrections) is -90.307 eV per cell. As for the total moment: 3.00 μB per formula unit.

Unit cell a=6.0908 b=6.0908 c=7.3362 alpha=90.00 beta=90.00 gamma=120.00
Space group P-3 (No. 147)
Unique sites:
Cs  0.0000  0.0000  0.0000
Pu  0.3333  0.6667  0.4452
Hg  0.0000  0.0000  0.5000
O  0.0628  0.3860  0.6201
O  0.3333  0.6667  0.1910

VASP calculation (GGA-PBE) on a relaxed structure of Ca2BeH8.

Results
The total DFT energy (no corrections) is -72.522 eV per cell. As for the total moment: 0.00 μB per formula unit.

Unit cell a=13.848 b=3.499 c=4.522 alpha=90.00 beta=107.98 gamma=90.00
Space group C2/m (No. 12)
Unique sites:
Ca  0.161  0.000  0.168
Be  0.000  0.500  0.500
H  0.030  0.000  0.544
H  0.078  0.500  0.836
H  0.089  0.500  0.362
H  0.227  0.000  0.731

VASP calculation (GGA-PBE) on a relaxed structure of Sc4Cd2Hg.

Results
For the formation energy from the elements, the calculation gives -0.12 eV/atom. The total DFT energy (no corrections) is -84.931 eV per cell. As for the total moment: 0.00 μB per formula unit.

Unit cell a=4.9278 b=4.9278 c=23.8562 alpha=90.00 beta=90.00 gamma=120.00
Space group R-3m (No. 166, hexagonal axes)
Unique sites:
Sc  0.0000  0.0000  0.1180
Sc  0.0000  0.0000  0.3711
Cd  0.0000  0.0000  0.2489
Hg  0.0000  0.0000  0.5000

VASP calculation (GGA-PBE) on a relaxed structure of MgPdCl.

Results
The uncorrected formation energy comes out at -0.723 eV per atom. The total DFT energy (no corrections) is -43.215 eV per cell. As for the total moment: 0.00 μB per formula unit.

Unit cell a=14.015 b=3.243 c=5.617 alpha=90.00 beta=90.00 gamma=90.00
Space group Amm2 (No. 38)
Unique sites:
Mg  0.000  0.000  0.000
Mg  0.500  0.000  0.219
Pd  0.363  0.000  0.886
Cl  0.114  0.000  0.333

VASP calculation (GGA-PBE) on a relaxed structure of AcPuGeBr.

Results
The uncorrected formation energy comes out at -0.723 eV per atom. The total DFT energy (no corrections) is -110.492 eV per cell. As for the total moment: 5.91 μB per formula unit.

Unit cell a=7.611 b=7.611 c=7.611 alpha=90.00 beta=90.00 gamma=90.00
Space group F-43m (No. 216)
Unique sites:
Ac  0.000  0.000  0.000
Pu  0.000  0.000  0.500
Ge  0.250  0.250  0.750
Br  0.250  0.250  0.250

VASP calculation (GGA-PBE) on a relaxed structure of La4Ni3Bi8.

Results
For the formation energy from the elements, the calculation gives -0.59 eV/atom. The total DFT energy (no corrections) is -77.015 eV per cell. As for the total moment: 0.00 μB per formula unit.

Unit cell a=4.621 b=4.621 c=19.736 alpha=90.00 beta=90.00 gamma=90.00
Space group P-4m2 (No. 115)
Unique sites:
La  0.000  0.500  0.113
La  0.000  0.500  0.616
Ni  0.000  0.000  0.000
Ni  0.000  0.000  0.500
Ni  0.500  0.500  0.500
Bi  0.000  0.000  0.249
Bi  0.000  0.500  0.430
Bi  0.000  0.500  0.934
Bi  0.500  0.500  0.249

VASP calculation (GGA-PBE) on a relaxed structure of Pr12Er6Mg.

Results
For the formation energy from the elements, the calculation gives 0.12 eV/atom. The total DFT energy (no corrections) is -252.277 eV per cell. As for the total moment: 0.00 μB per formula unit.

Unit cell a=12.1582 b=12.1582 c=15.3876 alpha=90.00 beta=90.00 gamma=120.00
Space group R-3 (No. 148, hexagonal axes)
Unique sites:
Pr  0.0075  0.1782  0.3122
Pr  0.0469  0.8462  0.9150
Er  0.0238  0.4330  0.1917
Mg  0.0000  0.0000  0.5000

VASP calculation (GGA-PBE) on a relaxed structure of MoRuCl2.

Results
The uncorrected formation energy comes out at 0.856 eV per atom. The total DFT energy (no corrections) is -81.508 eV per cell. As for the total moment: 0.00 μB per formula unit. The calculation puts the energy above the most stable polymorph in this dataset at 1.101 eV/atom.

Unit cell a=5.378 b=5.378 c=10.620 alpha=90.00 beta=90.00 gamma=90.00
Space group I-42d (No. 122)
Unique sites:
Mo  0.000  0.000  0.000
Ru  0.000  0.000  0.500
Cl  0.250  0.250  0.125

VASP calculation (GGA-PBE) on a relaxed structure of AcDyAu2.

Results
For the formation energy from the elements, the calculation gives -0.75 eV/atom. The total DFT energy (no corrections) is -73.024 eV per cell. As for the total moment: 0.00 μB per formula unit. The calculation puts the energy above the most stable polymorph in this dataset at 0.081 eV/atom.

Unit cell a=7.548 b=7.548 c=7.548 alpha=90.00 beta=90.00 gamma=90.00
Space group Fm-3m (No. 225)
Unique sites:
Ac  0.000  0.000  0.000
Dy  0.000  0.000  0.500
Au  0.250  0.250  0.250